## P
# AlTeRh2

AlTeRh2 after structural relaxation (GGA-PBEsol, the Alexandria database).

Cell and atoms, written as POSCAR:
```
AlTeRh2
1.0
4.5312 -1.6759 0.0000
4.5312 1.6759 0.0000
-1.0704 0.0000 4.1797
Al Te Rh
1 1 2
Direct
0.0000 0.0000 0.0000 Al
0.7623 0.7623 0.3883 Te
0.2712 0.2712 0.9029 Rh
0.4969 0.4969 0.5144 Rh
```

- M_tot (μB per atom) = 0.000
- DOS(E_F) (states/eV/cell) = 2.06
- calculated volume (Å³/cell) = 63.5

---

## Q
# AlTeRh2

AlTeRh2 after structural relaxation (GGA-PBEsol, the Alexandria database).

Cell and atoms, written as POSCAR:
```
AlTeRh2
1.0
4.4270 0.0000 0.0000
0.0000 4.4270 0.0000
0.0000 0.0000 3.2059
Al Te Rh
1 1 2
Direct
0.0000 0.0000 0.0000 Al
0.5000 0.5000 0.0000 Te
0.0000 0.5000 0.5000 Rh
0.5000 0.0000 0.5000 Rh
```

- M_tot (μB per atom) = 0.000
- DOS(E_F) (states/eV/cell) = 3.39
- calculated volume (Å³/cell) = 62.8

---

P takes first place; second place is 76 meV/atom up.

---

## P
# BaSr2

BaSr2 after structural relaxation (GGA-PBEsol, the Alexandria database).

Cell and atoms, written as POSCAR:
```
BaSr2
1.0
2.3804 -10.0521 0.0000
2.3804 10.0521 0.0000
0.0000 0.0000 6.6914
Ba Sr
2 4
Direct
0.0835 0.9165 0.7500 Ba
0.9165 0.0835 0.2500 Ba
0.2483 0.7517 0.2500 Sr
0.4155 0.5845 0.7500 Sr
0.5845 0.4155 0.2500 Sr
0.7517 0.2483 0.7500 Sr
```

- M_tot (μB per atom) = 0.000
- DOS(E_F) (states/eV/cell) = 6.73
- calculated volume (Å³/cell) = 320.2

---

## Q
# BaSr2

BaSr2 after structural relaxation (GGA-PBEsol, the Alexandria database).

Cell and atoms, written as POSCAR:
```
BaSr2
1.0
-2.1350 2.1350 8.9305
2.1350 -2.1350 8.9305
2.1350 2.1350 -8.9305
Ba Sr
1 2
Direct
0.0000 0.0000 0.0000 Ba
0.3306 0.3306 0.0000 Sr
0.6694 0.6694 0.0000 Sr
```

- M_tot (μB per atom) = 0.000
- DOS(E_F) (states/eV/cell) = 3.55
- calculated volume (Å³/cell) = 162.8

---

P takes first place; second place is 7 meV/atom up.

---

## P
# CuPtAu2

CuPtAu2 after structural relaxation (GGA-PBEsol, the Alexandria database).

Cell and atoms, written as POSCAR:
```
CuPtAu2
1.0
4.5534 0.0000 0.0000
0.0000 4.5534 0.0000
0.0000 0.0000 2.9496
Cu Pt Au
1 1 2
Direct
0.0000 0.0000 0.0000 Cu
0.5000 0.5000 0.0000 Pt
0.0000 0.5000 0.5000 Au
0.5000 0.0000 0.5000 Au
```

- M_tot (μB per atom) = 0.000
- DOS(E_F) (states/eV/cell) = 1.49
- calculated volume (Å³/cell) = 61.2

---

## Q
# CuPtAu2

CuPtAu2 after structural relaxation (GGA-PBEsol, the Alexandria database).

Cell and atoms, written as POSCAR:
```
CuPtAu2
1.0
2.7832 0.0000 0.0000
0.0000 3.8732 0.0000
-0.0132 0.0000 5.6266
Cu Pt Au
1 1 2
Direct
0.0000 0.0000 0.0000 Cu
0.0000 0.0000 0.5000 Pt
0.4990 0.5000 0.2414 Au
0.5010 0.5000 0.7586 Au
```

- M_tot (μB per atom) = 0.000
- DOS(E_F) (states/eV/cell) = 1.37
- calculated volume (Å³/cell) = 60.7

---

Q takes first place; second place is 8 meV/atom up.

---

## P
# Tl2MoRu

Tl2MoRu after structural relaxation (GGA-PBEsol, the Alexandria database).

Cell and atoms, written as POSCAR:
```
Tl2MoRu
1.0
-1.4591 2.3620 5.5658
1.4591 -2.3620 5.5658
1.4591 2.3620 -5.5658
Tl Mo Ru
2 1 1
Direct
0.0000 0.0000 0.0000 Tl
0.7090 0.2090 0.5000 Tl
0.2776 0.7776 0.5000 Mo
0.4629 0.4629 0.0000 Ru
```

- M_tot (μB per atom) = 0.000
- DOS(E_F) (states/eV/cell) = 3.19
- calculated volume (Å³/cell) = 76.7

---

## Q
# Tl2MoRu

Tl2MoRu after structural relaxation (GGA-PBEsol, the Alexandria database).

Cell and atoms, written as POSCAR:
```
Tl2MoRu
1.0
3.0211 0.0000 0.0000
0.0000 3.0211 0.0000
0.0000 0.0000 8.5942
Tl Mo Ru
2 1 1
Direct
0.0000 0.0000 0.0000 Tl
0.5000 0.5000 0.3324 Tl
0.0000 0.0000 0.5883 Mo
0.5000 0.5000 0.7493 Ru
```

- M_tot (μB per atom) = 0.000
- DOS(E_F) (states/eV/cell) = 3.15
- calculated volume (Å³/cell) = 78.4

---

Q takes first place; second place is 301 meV/atom up.

---

## P
# IrRuPt

IrRuPt after structural relaxation (GGA-PBEsol, the Alexandria database).

Cell and atoms, written as POSCAR:
```
IrRuPt
1.0
-1.3497 1.3497 5.8100
1.3497 -1.3497 5.8100
1.3497 1.3497 -5.8100
Ir Ru Pt
1 1 1
Direct
0.0000 0.0000 0.0000 Ir
0.3471 0.3471 0.0000 Ru
0.6769 0.6769 0.0000 Pt
```

- M_tot (μB per atom) = 0.000
- DOS(E_F) (states/eV/cell) = 2.21
- calculated volume (Å³/cell) = 42.3

---

## Q
# IrRuPt

IrRuPt after structural relaxation (GGA-PBEsol, the Alexandria database).

Cell and atoms, written as POSCAR:
```
IrRuPt
1.0
2.7088 0.0000 0.0000
-1.3544 2.3459 0.0000
0.0000 0.0000 6.6649
Ir Ru Pt
1 1 1
Direct
0.0000 0.0000 0.0000 Ir
0.6667 0.3333 0.3138 Ru
0.3333 0.6667 0.6509 Pt
```

- M_tot (μB per atom) = 0.000
- DOS(E_F) (states/eV/cell) = 2.97
- calculated volume (Å³/cell) = 42.4

---

P takes first place; second place is 36 meV/atom up.

---

## P
# Cd2SbAs

Cd2SbAs after structural relaxation (GGA-PBEsol, the Alexandria database).

Cell and atoms, written as POSCAR:
```
Cd2SbAs
1.0
3.2936 0.0000 0.0000
0.0000 4.3318 0.0000
-1.4519 0.0000 6.3030
Cd Sb As
2 1 1
Direct
0.0243 0.0000 0.2674 Cd
0.9757 0.0000 0.7326 Cd
0.5000 0.5000 0.0000 Sb
0.5000 0.5000 0.5000 As
```

- M_tot (μB per atom) = 0.000
- DOS(E_F) (states/eV/cell) = 1.75
- calculated volume (Å³/cell) = 89.9

---

## Q
# Cd2SbAs

Cd2SbAs after structural relaxation (GGA-PBEsol, the Alexandria database).

Cell and atoms, written as POSCAR:
```
Cd2SbAs
1.0
-1.8847 2.1888 5.6385
1.8847 -2.1888 5.6385
1.8847 2.1888 -5.6385
Cd Sb As
2 1 1
Direct
0.0000 0.0000 0.0000 Cd
0.6821 0.1821 0.5000 Cd
0.2706 0.7706 0.5000 Sb
0.4573 0.4573 0.0000 As
```

- M_tot (μB per atom) = 0.000
- DOS(E_F) (states/eV/cell) = 1.44
- calculated volume (Å³/cell) = 93.0

---

Q takes first place; second place is 68 meV/atom up.

---

## P
# ZnTc

ZnTc after structural relaxation (GGA-PBEsol, the Alexandria database).

Cell and atoms, written as POSCAR:
```
ZnTc
1.0
2.7319 0.0000 0.0000
-1.3660 2.3659 0.0000
0.0000 0.0000 8.6198
Zn Tc
2 2
Direct
0.3333 0.6667 0.3738 Zn
0.6667 0.3333 0.6262 Zn
0.3333 0.6667 0.8830 Tc
0.6667 0.3333 0.1170 Tc
```

- M_tot (μB per atom) = 0.000
- DOS(E_F) (states/eV/cell) = 1.69
- calculated volume (Å³/cell) = 55.7

---

## Q
# ZnTc

ZnTc after structural relaxation (GGA-PBEsol, the Alexandria database).

Cell and atoms, written as POSCAR:
```
ZnTc
1.0
1.3596 0.7850 8.7472
-1.3596 0.7850 8.7472
0.0000 -1.5699 8.7472
Zn Tc
2 2
Direct
0.1238 0.1238 0.1238 Zn
0.8762 0.8762 0.8762 Zn
0.3720 0.3720 0.3720 Tc
0.6280 0.6280 0.6280 Tc
```

- M_tot (μB per atom) = 0.000
- DOS(E_F) (states/eV/cell) = 1.93
- calculated volume (Å³/cell) = 56.0

---

P takes first place; second place is 38 meV/atom up.

---

## P
# MgSc2In

MgSc2In after structural relaxation (GGA-PBEsol, the Alexandria database).

Cell and atoms, written as POSCAR:
```
MgSc2In
1.0
-1.7315 2.4978 5.1490
1.7315 -2.4978 5.1490
1.7315 2.4978 -5.1490
Mg Sc In
1 2 1
Direct
0.0000 0.0000 0.0000 Mg
0.4819 0.4819 0.0000 Sc
0.7390 0.2390 0.5000 Sc
0.2281 0.7281 0.5000 In
```

- M_tot (μB per atom) = 0.000
- DOS(E_F) (states/eV/cell) = 4.79
- calculated volume (Å³/cell) = 89.1

---

## Q
# MgSc2In

MgSc2In after structural relaxation (GGA-PBEsol, the Alexandria database).

Cell and atoms, written as POSCAR:
```
MgSc2In
1.0
3.2250 0.0000 0.0000
0.0000 4.4853 0.0000
0.0000 0.0000 6.2188
Mg Sc In
1 2 1
Direct
0.0000 0.0000 0.0000 Mg
0.0000 0.0000 0.4983 Sc
0.5000 0.5000 0.2439 Sc
0.5000 0.5000 0.7342 In
```

- M_tot (μB per atom) = 0.000
- DOS(E_F) (states/eV/cell) = 3.53
- calculated volume (Å³/cell) = 90.0

---

P takes first place; second place is 46 meV/atom up.

---

## P
# NaGeSbO5

NaGeSbO5 after structural relaxation (GGA-PBEsol, the Alexandria database).

Cell and atoms, written as POSCAR:
```
NaGeSbO5
1.0
13.0395 0.0000 0.0000
0.0000 6.4355 0.0000
0.0000 0.0000 10.7552
Na Ge Sb O
8 8 8 40
Direct
0.1007 0.2282 0.0000 Na
0.1571 0.7991 0.3222 Na
0.3429 0.2991 0.8222 Na
0.3993 0.7282 0.5000 Na
0.6007 0.2718 0.0000 Na
0.6571 0.7009 0.3222 Na
0.8429 0.2009 0.8222 Na
0.8993 0.7718 0.5000 Na
0.0190 0.3132 0.3343 Ge
0.1874 0.0408 0.6010 Ge
0.3126 0.5408 0.1010 Ge
0.4810 0.8132 0.8343 Ge
0.5190 0.1868 0.3343 Ge
0.6874 0.4592 0.6010 Ge
0.8126 0.9592 0.1010 Ge
0.9810 0.6868 0.8343 Ge
0.1142 0.5334 0.5899 Sb
0.2257 0.7791 0.8641 Sb
0.2743 0.2791 0.3641 Sb
0.3858 0.0334 0.0899 Sb
0.6142 0.9666 0.5899 Sb
0.7257 0.7209 0.8641 Sb
0.7743 0.2209 0.3641 Sb
0.8858 0.4666 0.0899 Sb
0.0160 0.4051 0.1796 O
0.0287 0.5325 0.4324 O
0.0792 0.8652 0.8726 O
0.0946 0.2350 0.6187 O
0.1165 0.8313 0.5442 O
0.1315 0.1653 0.3479 O
0.1947 0.5529 0.7447 O
0.2078 0.5702 0.9981 O
0.2432 0.4981 0.4905 O
0.2460 0.5026 0.2417 O
0.2540 0.0026 0.7417 O
0.2568 0.9981 0.9905 O
0.2922 0.0702 0.4981 O
0.3053 0.0529 0.2447 O
0.3685 0.6653 0.8479 O
0.3835 0.3313 0.0442 O
0.4054 0.7350 0.1187 O
0.4208 0.3652 0.3726 O
0.4713 0.0325 0.9324 O
0.4840 0.9051 0.6796 O
0.5160 0.0949 0.1796 O
0.5287 0.9675 0.4324 O
0.5792 0.6348 0.8726 O
0.5946 0.2650 0.6187 O
0.6165 0.6687 0.5442 O
0.6315 0.3347 0.3479 O
0.6947 0.9471 0.7447 O
0.7078 0.9298 0.9981 O
0.7432 0.0019 0.4905 O
0.7460 0.9974 0.2417 O
0.7540 0.4974 0.7417 O
0.7568 0.5019 0.9905 O
0.7922 0.4298 0.4981 O
0.8053 0.4471 0.2447 O
0.8685 0.8347 0.8479 O
0.8835 0.1687 0.0442 O
0.9054 0.7650 0.1187 O
0.9208 0.1348 0.3726 O
0.9713 0.4675 0.9324 O
0.9840 0.5949 0.6796 O
```

- M_tot (μB per atom) = 0.000
- DOS(E_F) (states/eV/cell) = 0.00
- calculated volume (Å³/cell) = 902.5

---

## Q
# NaGeSbO5

NaGeSbO5 after structural relaxation (GGA-PBEsol, the Alexandria database).

Cell and atoms, written as POSCAR:
```
NaGeSbO5
1.0
3.3780 -4.4703 0.0000
3.3780 4.4703 0.0000
-3.0643 0.0000 6.5926
Na Ge Sb O
2 2 2 10
Direct
0.1652 0.8348 0.7500 Na
0.8348 0.1652 0.2500 Na
0.1875 0.8125 0.2500 Ge
0.8125 0.1875 0.7500 Ge
0.5000 0.5000 0.0000 Sb
0.5000 0.5000 0.5000 Sb
0.1271 0.2552 0.9236 O
0.1853 0.5891 0.3828 O
0.2552 0.1271 0.4236 O
0.4109 0.8147 0.1172 O
0.4189 0.5811 0.7500 O
0.5811 0.4189 0.2500 O
0.5891 0.1853 0.8828 O
0.7448 0.8729 0.5764 O
0.8147 0.4109 0.6172 O
0.8729 0.7448 0.0764 O
```

- M_tot (μB per atom) = 0.000
- DOS(E_F) (states/eV/cell) = 0.00
- calculated volume (Å³/cell) = 199.1

---

Q takes first place; second place is 23 meV/atom up.

---

## P
# La2Y

La2Y after structural relaxation (GGA-PBEsol, the Alexandria database).

Cell and atoms, written as POSCAR:
```
La2Y
1.0
1.8227 -9.4802 0.0000
1.8227 9.4802 0.0000
0.0000 0.0000 5.8095
La Y
4 2
Direct
0.0553 0.9447 0.7500 La
0.2780 0.7220 0.2500 La
0.7220 0.2780 0.7500 La
0.9447 0.0553 0.2500 La
0.3891 0.6109 0.7500 Y
0.6109 0.3891 0.2500 Y
```

- M_tot (μB per atom) = 0.000
- DOS(E_F) (states/eV/cell) = 10.33
- calculated volume (Å³/cell) = 200.8

---

## Q
# La2Y

La2Y after structural relaxation (GGA-PBEsol, the Alexandria database).

Cell and atoms, written as POSCAR:
```
La2Y
1.0
7.1351 0.0000 0.0000
0.0000 5.1194 0.0000
0.0000 0.0000 10.7977
La Y
8 4
Direct
0.1214 0.2500 0.2496 La
0.1222 0.2500 0.5824 La
0.3778 0.7500 0.0824 La
0.3786 0.7500 0.7496 La
0.6214 0.2500 0.2504 La
0.6222 0.2500 0.9176 La
0.8778 0.7500 0.4176 La
0.8786 0.7500 0.7504 La
0.1270 0.2500 0.9176 Y
0.3730 0.7500 0.4176 Y
0.6270 0.2500 0.5824 Y
0.8730 0.7500 0.0824 Y
```

- M_tot (μB per atom) = 0.000
- DOS(E_F) (states/eV/cell) = 17.62
- calculated volume (Å³/cell) = 394.4

---

Q takes first place; second place is 20 meV/atom up.

---

## P
# MnSe2Cl

MnSe2Cl after structural relaxation (GGA-PBEsol, the Alexandria database).

Cell and atoms, written as POSCAR:
```
MnSe2Cl
1.0
5.2552 -1.6966 0.0000
5.2552 1.6966 0.0000
-1.3656 0.0000 5.1804
Mn Se Cl
1 2 1
Direct
0.0000 0.0000 0.0000 Mn
0.5492 0.5492 0.3590 Se
0.6836 0.6836 0.0658 Se
0.3645 0.3645 0.7234 Cl
```

- M_tot (μB per atom) = 1.000
- DOS(E_F) (states/eV/cell) = 1.47
- calculated volume (Å³/cell) = 92.4

---

## Q
# MnSe2Cl

MnSe2Cl after structural relaxation (GGA-PBEsol, the Alexandria database).

Cell and atoms, written as POSCAR:
```
MnSe2Cl
1.0
-1.6601 2.0499 5.8025
1.6601 -2.0499 5.8025
1.6601 2.0499 -5.8025
Mn Se Cl
1 2 1
Direct
0.0000 0.0000 0.0000 Mn
0.2299 0.7299 0.5000 Se
0.7701 0.2701 0.5000 Se
0.5000 0.5000 0.0000 Cl
```

- M_tot (μB per atom) = 1.200
- DOS(E_F) (states/eV/cell) = 1.63
- calculated volume (Å³/cell) = 79.0

---

P takes first place; second place is 304 meV/atom up.

---

## P
# KTcBr2

KTcBr2 after structural relaxation (GGA-PBEsol, the Alexandria database).

Cell and atoms, written as POSCAR:
```
KTcBr2
1.0
7.4076 -1.8060 0.0000
7.4076 1.8060 0.0000
-0.0054 0.0000 3.9420
K Tc Br
1 1 2
Direct
0.0000 0.0000 0.0000 K
0.7858 0.7858 0.5041 Tc
0.3090 0.3090 0.0043 Br
0.6082 0.6082 0.5006 Br
```

- M_tot (μB per atom) = 0.848
- DOS(E_F) (states/eV/cell) = 2.85
- calculated volume (Å³/cell) = 105.5

---

## Q
# KTcBr2

KTcBr2 after structural relaxation (GGA-PBEsol, the Alexandria database).

Cell and atoms, written as POSCAR:
```
KTcBr2
1.0
5.2124 0.0000 0.0000
0.0000 5.2124 0.0000
0.0000 0.0000 3.7165
K Tc Br
1 1 2
Direct
0.0000 0.0000 0.0000 K
0.5000 0.5000 0.5000 Tc
0.0000 0.5000 0.5000 Br
0.5000 0.0000 0.5000 Br
```

- M_tot (μB per atom) = 0.776
- DOS(E_F) (states/eV/cell) = 2.09
- calculated volume (Å³/cell) = 101.0

---

Q takes first place; second place is 132 meV/atom up.

---

## P
# NiMoW2

NiMoW2 after structural relaxation (GGA-PBEsol, the Alexandria database).

Cell and atoms, written as POSCAR:
```
NiMoW2
1.0
-1.9705 1.9705 3.6981
1.9705 -1.9705 3.6981
1.9705 1.9705 -3.6981
Ni Mo W
1 1 2
Direct
0.0000 0.0000 0.0000 Ni
0.5000 0.5000 0.0000 Mo
0.2500 0.7500 0.5000 W
0.7500 0.2500 0.5000 W
```

- M_tot (μB per atom) = 0.000
- DOS(E_F) (states/eV/cell) = 3.46
- calculated volume (Å³/cell) = 57.4

---

## Q
# NiMoW2

NiMoW2 after structural relaxation (GGA-PBEsol, the Alexandria database).

Cell and atoms, written as POSCAR:
```
NiMoW2
1.0
2.6340 0.0000 0.0000
0.0000 4.3784 0.0000
-0.7914 0.0000 5.0267
Ni Mo W
1 1 2
Direct
0.0000 0.0000 0.0000 Ni
0.3689 0.5000 0.7568 Mo
0.6148 0.0000 0.4969 W
0.8928 0.5000 0.2488 W
```

- M_tot (μB per atom) = 0.000
- DOS(E_F) (states/eV/cell) = 3.42
- calculated volume (Å³/cell) = 58.0

---

Q takes first place; second place is 32 meV/atom up.